Density functional theory data (GGA-PBE) for a relaxed structure of CeTmGaPd.

Unit cell a=5.0484 b=5.0484 c=5.0484 alpha=60.00 beta=60.00 gamma=60.00
Closest atoms and distances in Å follow each position.
Fractional positions:
Ga 0.2500 0.2500 0.2500  4 Tm 3.09, 4 Ce 3.09
Tm 0.5000 0.5000 0.5000  4 Pd 3.09, 4 Ga 3.09
Ce 0.0000 0.0000 0.0000  4 Pd 3.09, 4 Ga 3.09
Pd 0.7500 0.7500 0.7500  4 Ce 3.09, 4 Tm 3.09

Calculated values
Total energy (eV/atom): -5.260